# 1
An optimized crystal structure of Li6InAu. Source: the Alexandria database, functional PBE-GGA.

```
data_Li6InAu
_chemical_formula_sum 'Li18 In3 Au3'
_cell_length_a 4.5907
_cell_length_b 4.5907
_cell_length_c 22.3378
_cell_angle_alpha 90.00
_cell_angle_beta 90.00
_cell_angle_gamma 120.00
_symmetry_space_group_name_H-M 'R -3 m'
_symmetry_Int_Tables_number 166
_symmetry_space_group_name_Hall '-R 3 2"'
loop_
_atom_site_label
_atom_site_type_symbol
_atom_site_fract_x
_atom_site_fract_y
_atom_site_fract_z
_atom_site_occupancy
Li1 Li 0.0000 0.0000 0.1195 1
Li2 Li 0.0000 0.0000 0.2458 1
Li3 Li 0.0000 0.0000 0.3700 1
In1 In 0.0000 0.0000 0.5000 1
Au1 Au 0.0000 0.0000 0.0000 1
```

Values from the calculation:
calculated formation energy	-0.31	eV per atom
total magnetization	0.00	μB/atom
total energy	-2.499	eV per atom

***

# 2
An optimized crystal structure of Ti2TlClF. Source: the Alexandria database, functional PBE-GGA.

```
data_Ti2TlClF
_chemical_formula_sum 'Ti2 Tl1 Cl1 F1'
_cell_length_a 5.4735
_cell_length_b 5.4735
_cell_length_c 5.4425
_cell_angle_alpha 90.00
_cell_angle_beta 90.00
_cell_angle_gamma 90.00
_symmetry_space_group_name_H-M 'P 4/m m m'
_symmetry_Int_Tables_number 123
_symmetry_space_group_name_Hall '-P 4 2'
loop_
_atom_site_label
_atom_site_type_symbol
_atom_site_fract_x
_atom_site_fract_y
_atom_site_fract_z
_atom_site_occupancy
Ti1 Ti 0.0000 0.5000 0.0000 1
Tl1 Tl 0.0000 0.0000 0.0000 1
Cl1 Cl 0.0000 0.0000 0.5000 1
F1 F 0.5000 0.5000 0.5000 1
```

Values from the calculation:
total magnetization	0.85	μB/atom
total energy	-3.748	eV per atom

***

# 3
An optimized crystal structure of LiZnTe2Cl. Source: the Alexandria database, functional PBE-GGA.

```
data_LiZnTe2Cl
_chemical_formula_sum 'Li1 Zn1 Te2 Cl1'
_cell_length_a 5.3272
_cell_length_b 5.3272
_cell_length_c 5.1825
_cell_angle_alpha 90.00
_cell_angle_beta 90.00
_cell_angle_gamma 90.00
_symmetry_space_group_name_H-M 'P 4/m m m'
_symmetry_Int_Tables_number 123
_symmetry_space_group_name_Hall '-P 4 2'
loop_
_atom_site_label
_atom_site_type_symbol
_atom_site_fract_x
_atom_site_fract_y
_atom_site_fract_z
_atom_site_occupancy
Li1 Li 0.0000 0.0000 0.0000 1
Zn1 Zn 0.5000 0.5000 0.5000 1
Te1 Te 0.0000 0.5000 0.5000 1
Cl1 Cl 0.5000 0.5000 0.0000 1
```

Values from the calculation:
total magnetization	0.00	μB/atom
total energy	-2.461	eV per atom

***

# 4
An optimized crystal structure of LaTlBSb2. Source: the Alexandria database, functional PBE-GGA.

```
data_LaTlBSb2
_chemical_formula_sum 'La1 Tl1 B1 Sb2'
_cell_length_a 5.0058
_cell_length_b 5.0058
_cell_length_c 5.1433
_cell_angle_alpha 90.00
_cell_angle_beta 90.00
_cell_angle_gamma 90.00
_symmetry_space_group_name_H-M 'P 4/m m m'
_symmetry_Int_Tables_number 123
_symmetry_space_group_name_Hall '-P 4 2'
loop_
_atom_site_label
_atom_site_type_symbol
_atom_site_fract_x
_atom_site_fract_y
_atom_site_fract_z
_atom_site_occupancy
La1 La 0.0000 0.0000 0.0000 1
Tl1 Tl 0.5000 0.5000 0.0000 1
B1 B 0.0000 0.0000 0.5000 1
Sb1 Sb 0.0000 0.5000 0.5000 1
```

Values from the calculation:
total magnetization	0.00	μB/atom
total energy	-4.384	eV per atom

***

# 5
An optimized crystal structure of PuCd3Ga3. Source: the Alexandria database, functional PBE-GGA.

```
data_PuCd3Ga3
_chemical_formula_sum 'Pu2 Cd6 Ga6'
_cell_length_a 7.4076
_cell_length_b 7.4076
_cell_length_c 7.4076
_cell_angle_alpha 90.00
_cell_angle_beta 90.00
_cell_angle_gamma 90.00
_symmetry_space_group_name_H-M 'P m -3 n'
_symmetry_Int_Tables_number 223
_symmetry_space_group_name_Hall '-P 4n 2 3'
loop_
_atom_site_label
_atom_site_type_symbol
_atom_site_fract_x
_atom_site_fract_y
_atom_site_fract_z
_atom_site_occupancy
Pu1 Pu 0.0000 0.0000 0.0000 1
Cd1 Cd 0.0000 0.2500 0.5000 1
Ga1 Ga 0.0000 0.5000 0.2500 1
```

Values from the calculation:
calculated formation energy	0.39	eV per atom
total magnetization	0.86	μB/atom
total energy	-3.347	eV per atom

***

# 6
An optimized crystal structure of Zr2BeSb. Source: the Alexandria database, functional PBE-GGA.

```
data_Zr2BeSb
_chemical_formula_sum 'Zr4 Be2 Sb2'
_cell_length_a 4.0067
_cell_length_b 4.5987
_cell_length_c 8.4037
_cell_angle_alpha 90.00
_cell_angle_beta 90.00
_cell_angle_gamma 90.00
_symmetry_space_group_name_H-M 'I m m m'
_symmetry_Int_Tables_number 71
_symmetry_space_group_name_Hall '-I 2 2'
loop_
_atom_site_label
_atom_site_type_symbol
_atom_site_fract_x
_atom_site_fract_y
_atom_site_fract_z
_atom_site_occupancy
Zr1 Zr 0.0000 0.0000 0.2390 1
Be1 Be 0.0000 0.5000 0.5000 1
Sb1 Sb 0.0000 0.5000 0.0000 1
```

Values from the calculation:
total magnetization	0.00	μB/atom
total energy	-6.477	eV per atom

***

Look up the total energy of the second one. -3.748 eV per atom

***

Which value of total magnetization does entry 4 give? 0.00 μB/atom